(1)
Compound: MgSi2Se
Source: the Alexandria database
Functional: PBE-GGA
Structure: optimized geometry Values from VASP.

Output
V   23.66 Å³/atom
Formation energy (no corrections)   -0.377 eV per atom
Space-group type   Cm (8)
Energy relative to the lowest polymorph listed for this composition   0 meV/atom

```
&SYSTEM
  ibrav = 0, nat = 4, ntyp = 3
/
ATOMIC_SPECIES
Mg 24.30 Mg.upf
Se 78.96 Se.upf
Si 28.09 Si.upf
CELL_PARAMETERS angstrom
-0.397 -0.706 -3.886
-0.129 -3.736 -1.334
-6.723 1.473 2.455
ATOMIC_POSITIONS crystal
Mg 0.568 0.568 0.449
Se 0.179 0.179 0.284
Si 0.061 0.061 0.936
Si 0.692 0.692 0.831
```


(2)
Compound: Mg2SiSe
Source: the Alexandria database
Functional: PBE-GGA
Structure: optimized geometry Values from VASP.

Output
V   20.70 Å³/atom
N(E_F)   0.379 states/eV/atom
Formation energy (no corrections)   -0.206 eV per atom
Space-group type   P2/m (10)
Energy relative to the lowest polymorph listed for this composition   198 meV/atom

```
&SYSTEM
  ibrav = 0, nat = 4, ntyp = 3
/
ATOMIC_SPECIES
Mg 24.30 Mg.upf
Se 78.96 Se.upf
Si 28.09 Si.upf
CELL_PARAMETERS angstrom
3.447 0.000 0.000
0.000 3.743 -0.144
0.000 2.039 6.340
ATOMIC_POSITIONS crystal
Mg 0.000 0.061 0.990
Mg 0.000 0.439 0.510
Se 0.500 0.250 0.250
Si 0.500 0.750 0.750
```


(3)
Compound: Mg2SiSe
Source: the Alexandria database
Functional: PBE-GGA
Structure: optimized geometry Values from VASP.

Output
V   19.43 Å³/atom
N(E_F)   0.234 states/eV/atom
Formation energy (no corrections)   -0.194 eV per atom
Space-group type   C2/m (12)
Energy relative to the lowest polymorph listed for this composition   210 meV/atom

```
&SYSTEM
  ibrav = 0, nat = 4, ntyp = 3
/
ATOMIC_SPECIES
Mg 24.30 Mg.upf
Se 78.96 Se.upf
Si 28.09 Si.upf
CELL_PARAMETERS angstrom
-4.602 -1.265 -0.785
1.772 0.123 -4.499
0.765 -3.310 0.077
ATOMIC_POSITIONS crystal
Mg 0.000 0.000 0.000
Mg 0.500 0.500 0.000
Se 0.500 0.000 0.500
Si 0.000 0.500 0.500
```


(4)
Compound: Mg2SiSe
Source: the Alexandria database
Functional: PBE-GGA
Structure: optimized geometry Values from VASP.

Output
V   20.05 Å³/atom
N(E_F)   0.757 states/eV/atom
Formation energy (no corrections)   0.196 eV per atom
Space-group type   F-43m (216)
Energy relative to the lowest polymorph listed for this composition   600 meV/atom

```
&SYSTEM
  ibrav = 0, nat = 4, ntyp = 3
/
ATOMIC_SPECIES
Mg 24.30 Mg.upf
Se 78.96 Se.upf
Si 28.09 Si.upf
CELL_PARAMETERS angstrom
-3.787 -2.526 1.646
0.642 -4.478 1.724
-0.461 -0.857 4.742
ATOMIC_POSITIONS crystal
Mg 0.000 0.000 0.000
Mg 0.250 0.250 0.250
Se 0.500 0.500 0.500
Si 0.750 0.750 0.750
```


(5)
Compound: MgSi2Se
Source: the Alexandria database
Functional: PBE-GGA
Structure: optimized geometry Values from VASP.

Output
V   18.83 Å³/atom
N(E_F)   0.553 states/eV/atom
Formation energy (no corrections)   0.495 eV per atom
Space-group type   Fm-3m (225)
Energy relative to the lowest polymorph listed for this composition   872 meV/atom

```
&SYSTEM
  ibrav = 0, nat = 4, ntyp = 3
/
ATOMIC_SPECIES
Si 28.09 Si.upf
Mg 24.30 Mg.upf
Se 78.96 Se.upf
CELL_PARAMETERS angstrom
0.000 3.352 3.352
3.352 0.000 3.352
3.352 3.352 0.000
ATOMIC_POSITIONS crystal
Si 0.250 0.250 0.250
Si 0.750 0.750 0.750
Mg 0.000 0.000 0.000
Se 0.500 0.500 0.500
```


(6)
Compound: MgSi2Se
Source: the Alexandria database
Functional: PBE-GGA
Structure: optimized geometry Values from VASP.

Output
V   19.19 Å³/atom
N(E_F)   0.303 states/eV/atom
Formation energy (no corrections)   -0.087 eV per atom
Space-group type   C2/m (12)
Energy relative to the lowest polymorph listed for this composition   290 meV/atom

```
&SYSTEM
  ibrav = 0, nat = 4, ntyp = 3
/
ATOMIC_SPECIES
Mg 24.30 Mg.upf
Se 78.96 Se.upf
Si 28.09 Si.upf
CELL_PARAMETERS angstrom
6.156 0.049 -0.138
5.040 3.536 -0.138
-0.730 -0.234 3.583
ATOMIC_POSITIONS crystal
Mg 0.750 0.750 0.750
Se 0.250 0.250 0.250
Si 0.011 0.011 0.004
Si 0.489 0.489 0.496
```


(7)
Compound: MgSi2Se
Source: the Alexandria database
Functional: PBE-GGA
Structure: optimized geometry Values from VASP.

Output
V   18.37 Å³/atom
N(E_F)   0.533 states/eV/atom
Formation energy (no corrections)   0.318 eV per atom
Space-group type   P4/mmm (123)
Energy relative to the lowest polymorph listed for this composition   694 meV/atom

```
&SYSTEM
  ibrav = 0, nat = 4, ntyp = 3
/
ATOMIC_SPECIES
Mg 24.30 Mg.upf
Se 78.96 Se.upf
Si 28.09 Si.upf
CELL_PARAMETERS angstrom
4.667 0.000 0.000
0.000 4.667 0.000
0.000 0.000 3.374
ATOMIC_POSITIONS crystal
Mg 0.500 0.000 0.500
Se 0.000 0.500 0.500
Si 0.000 0.000 0.000
Si 0.500 0.500 0.000
```


(8)
Compound: MgSi2Se4
Source: the Alexandria database
Functional: PBE-GGA
Structure: optimized geometry Values from VASP.

Output
V   25.19 Å³/atom
N(E_F)   0.343 states/eV/atom
Formation energy (no corrections)   -0.305 eV per atom
Space-group type   I4/m (87)

```
&SYSTEM
  ibrav = 0, nat = 7, ntyp = 3
/
ATOMIC_SPECIES
Mg 24.30 Mg.upf
Si 28.09 Si.upf
Se 78.96 Se.upf
CELL_PARAMETERS angstrom
-1.932 5.571 1.737
-3.896 -4.694 0.757
4.847 -1.268 3.562
ATOMIC_POSITIONS crystal
Mg 0.500 0.500 0.000
Si 0.250 0.750 0.500
Si 0.750 0.250 0.500
Se 0.325 0.182 0.507
Se 0.818 0.325 0.143
Se 0.182 0.675 0.857
Se 0.675 0.818 0.493
```


(9)
Compound: Mg2SiSe
Source: the Alexandria database
Functional: PBE-GGA
Structure: optimized geometry Values from VASP.

Output
V   21.14 Å³/atom
N(E_F)   0.529 states/eV/atom
Formation energy (no corrections)   -0.277 eV per atom
Space-group type   P4mm (99)
Energy relative to the lowest polymorph listed for this composition   127 meV/atom

```
&SYSTEM
  ibrav = 0, nat = 4, ntyp = 3
/
ATOMIC_SPECIES
Mg 24.30 Mg.upf
Se 78.96 Se.upf
Si 28.09 Si.upf
CELL_PARAMETERS angstrom
3.880 0.000 0.000
0.000 3.880 0.000
0.000 0.000 5.616
ATOMIC_POSITIONS crystal
Mg 0.000 0.000 0.880
Mg 0.500 0.500 0.371
Se 0.000 0.000 0.377
Si 0.500 0.500 0.871
```


(10)
Compound: Mg2SiSe
Source: the Alexandria database
Functional: PBE-GGA
Structure: optimized geometry Values from VASP.

Output
V   20.38 Å³/atom
N(E_F)   0.358 states/eV/atom
Formation energy (no corrections)   -0.103 eV per atom
Space-group type   Immm (71)
Energy relative to the lowest polymorph listed for this composition   301 meV/atom

```
&SYSTEM
  ibrav = 0, nat = 4, ntyp = 3
/
ATOMIC_SPECIES
Mg 24.30 Mg.upf
Se 78.96 Se.upf
Si 28.09 Si.upf
CELL_PARAMETERS angstrom
5.153 0.007 -0.003
0.890 5.075 0.003
-2.303 -3.395 3.118
ATOMIC_POSITIONS crystal
Mg 0.996 0.996 0.000
Mg 0.504 0.504 0.000
Se 0.750 0.250 0.500
Si 0.250 0.750 0.500
```


(11)
Compound: Mg2SiSe
Source: the Alexandria database
Functional: PBE-GGA
Structure: optimized geometry Values from VASP.

Output
V   26.79 Å³/atom
N(E_F)   0.147 states/eV/atom
Formation energy (no corrections)   -0.148 eV per atom
Space-group type   I-42d (122)
Energy relative to the lowest polymorph listed for this composition   256 meV/atom

```
&SYSTEM
  ibrav = 0, nat = 8, ntyp = 3
/
ATOMIC_SPECIES
Si 28.09 Si.upf
Mg 24.30 Mg.upf
Se 78.96 Se.upf
CELL_PARAMETERS angstrom
6.637 0.000 0.000
0.000 6.637 0.000
3.318 3.318 4.865
ATOMIC_POSITIONS crystal
Si 0.500 0.500 0.000
Si 0.250 0.750 0.500
Mg 0.642 0.125 0.250
Mg 0.108 0.625 0.250
Mg 0.375 0.358 0.750
Mg 0.875 0.892 0.750
Se 0.000 0.000 0.000
Se 0.750 0.250 0.500
```


(12)
Compound: MgSiSe3
Source: the Alexandria database
Functional: PBE-GGA
Structure: optimized geometry Values from VASP.

Output
V   29.27 Å³/atom
Formation energy (no corrections)   -0.652 eV per atom
Space-group type   P2_1/m (11)
Energy relative to the lowest polymorph listed for this composition   54 meV/atom

```
&SYSTEM
  ibrav = 0, nat = 10, ntyp = 3
/
ATOMIC_SPECIES
Mg 24.30 Mg.upf
Si 28.09 Si.upf
Se 78.96 Se.upf
CELL_PARAMETERS angstrom
-1.903 -3.038 1.158
4.563 -0.719 5.616
-7.017 6.337 5.093
ATOMIC_POSITIONS crystal
Mg 0.750 0.326 0.365
Mg 0.250 0.674 0.635
Si 0.750 0.192 0.765
Si 0.250 0.808 0.235
Se 0.250 0.083 0.351
Se 0.250 0.587 0.377
Se 0.750 0.917 0.649
Se 0.750 0.413 0.623
Se 0.750 0.759 0.102
Se 0.250 0.241 0.898
```